1.
The following is a DFT calculation (PBE) of a relaxed Ca2Ni crystal.

The value obtained for the density of states at the Fermi level is 0.650 states/eV/atom. The value obtained for the volume is 27.40 Å³ per atom. The value obtained for the final energy is -3.23 eV/atom. The formation energy from the elements is 0.03 eV/atom.

The structure belongs to space group Cmcm (No. 63); the cell edges are 3.550, 17.904 and 5.174 Å and the angles 90.00°, 90.00° and 90.00°. The inequivalent atoms are Ca at (0.000, 0.063, 0.250), Ca at (0.000, 0.190, 0.750) and Ni at (0.000, 0.436, 0.250).

***

2.
The following is a DFT calculation (PBE) of a relaxed Nb2HgGe2 crystal.

For the excess energy over the best structure of this formula in the dataset, the calculation gives 0.0 meV/atom. The value obtained for the density of states at the Fermi level is 0.575 states/eV/atom. The value obtained for the volume is 18.81 Å³ per atom. The value obtained for the final energy is -5.99 eV/atom. The formation energy from the elements is -0.06 eV/atom.

The structure belongs to space group P4/mbm (No. 127); the cell edges are 7.462, 7.462 and 3.378 Å and the angles 90.00°, 90.00° and 90.00°. The inequivalent atoms are Nb at (0.132, 0.368, 0.000), Hg at (0.000, 0.000, 0.000) and Ge at (0.160, 0.660, 0.500).

***

3.
The following is a DFT calculation (PBE) of a relaxed NiGeAs2Br crystal.

As for the uncorrected formation energy: 506 kJ/mol of formula units. For the excess energy over the best structure of this formula in the dataset, the calculation gives 596.7 meV/atom. The value obtained for the density of states at the Fermi level is 1.842 states/eV/atom. The value obtained for the volume is 25.31 Å³ per atom. The value obtained for the final energy is -3.22 eV/atom.

The structure belongs to space group P4/mmm (No. 123); the cell edges are 4.954, 4.954 and 5.156 Å and the angles 90.00°, 90.00° and 90.00°. The inequivalent atoms are Ni at (0.000, 0.000, 0.000), Ge at (0.500, 0.500, 0.500), As at (0.000, 0.500, 0.500) and Br at (0.500, 0.500, 0.000).

***

4.
The following is a DFT calculation (PBE) of a relaxed BeNbAl crystal.

For the excess energy over the best structure of this formula in the dataset, the calculation gives 83.8 meV/atom. The value obtained for the density of states at the Fermi level is 0.322 states/eV/atom. The value obtained for the volume is 14.02 Å³ per atom. The value obtained for the final energy is -6.12 eV/atom. The formation energy from the elements is -0.27 eV/atom.

The structure belongs to space group Imm2 (No. 44); the cell edges are 3.741, 6.283 and 7.156 Å and the angles 90.00°, 90.00° and 90.00°. The inequivalent atoms are Be at (0.000, 0.193, 0.000), Nb at (0.000, 0.000, 0.585), Nb at (0.000, 0.500, 0.717) and Al at (0.000, 0.296, 0.315).

***

5.
The following is a DFT calculation (PBE) of a relaxed RuPbSe crystal.

As for the uncorrected formation energy: 72 kJ/mol of formula units. For the excess energy over the best structure of this formula in the dataset, the calculation gives 295.1 meV/atom. The value obtained for the density of states at the Fermi level is 0.910 states/eV/atom. The value obtained for the volume is 21.85 Å³ per atom. The value obtained for the final energy is -5.24 eV/atom.

The structure belongs to space group F-43m (No. 216); the cell edges are 6.400, 6.400 and 6.400 Å and the angles 90.00°, 90.00° and 90.00°. The inequivalent atoms are Ru at (0.000, 0.000, 0.000), Pb at (0.250, 0.250, 0.750) and Se at (0.250, 0.250, 0.250).

***

6.
The following is a DFT calculation (PBE) of a relaxed PmTlCd2 crystal.

The value obtained for the density of states at the Fermi level is 0.684 states/eV/atom. The value obtained for the volume is 26.03 Å³ per atom. The value obtained for the final energy is -2.53 eV/atom. The formation energy from the elements is -0.29 eV/atom.

The structure belongs to space group P4/mmm (No. 123); the cell edges are 4.599, 4.599 and 4.923 Å and the angles 90.00°, 90.00° and 90.00°. The inequivalent atoms are Pm at (0.000, 0.000, 0.000), Tl at (0.500, 0.500, 0.000) and Cd at (0.000, 0.500, 0.500).

***

7.
The following is a DFT calculation (PBE) of a relaxed Pr3Ho2Tm6 crystal.

For the excess energy over the best structure of this formula in the dataset, the calculation gives 63.8 meV/atom. The value obtained for the density of states at the Fermi level is 1.565 states/eV/atom. The value obtained for the volume is 33.77 Å³ per atom. The value obtained for the final energy is -4.30 eV/atom. The formation energy from the elements is 0.27 eV/atom.

The structure belongs to space group I4/mmm (No. 139); the cell edges are 4.735, 4.735 and 33.140 Å and the angles 90.00°, 90.00° and 90.00°. The inequivalent atoms are Pr at (0.000, 0.000, 0.000), Pr at (0.000, 0.000, 0.205), Ho at (0.000, 0.000, 0.453), Tm at (0.000, 0.000, 0.309) and Tm at (0.000, 0.500, 0.120).

***

8.
The following is a DFT calculation (PBE) of a relaxed Tb5Ho8Zr crystal.

The value obtained for the density of states at the Fermi level is 1.495 states/eV/atom. The value obtained for the volume is 31.88 Å³ per atom. The value obtained for the final energy is -4.67 eV/atom. The formation energy from the elements is 0.21 eV/atom.

The structure belongs to space group C2 (No. 5); the cell edges are 15.123, 8.122 and 8.386 Å and the angles 90.00°, 119.94° and 90.00°. The inequivalent atoms are Tb at (0.000, 0.000, 0.000), Tb at (0.050, 0.354, 0.287), Tb at (0.111, 0.667, 0.974), Ho at (0.125, 0.034, 0.684), Ho at (0.180, 0.442, 0.723), Ho at (0.183, 0.264, 0.067), Ho at (0.186, 0.746, 0.435) and Zr at (0.000, 0.680, 0.500).

***

9.
The following is a DFT calculation (PBE) of a relaxed CaBe17Pd crystal.

The value obtained for the density of states at the Fermi level is 0.224 states/eV/atom. The value obtained for the volume is 9.46 Å³ per atom. The value obtained for the final energy is -3.73 eV/atom. The formation energy from the elements is -0.02 eV/atom.

The structure belongs to space group R3m (No. 160, hexagonal axes); the cell edges are 7.5472, 7.5472 and 10.9328 Å and the angles 90.00°, 90.00° and 120.00°. The inequivalent atoms are Ca at (0.0000, 0.0000, 0.0000), Be at (0.0000, 0.0000, 0.5563), Be at (0.0000, 0.0000, 0.7496), Be at (0.0458, 0.3730, 0.3200), Be at (0.1692, 0.3383, 0.8316), Be at (0.1723, 0.3447, 0.4896), Be at (0.1766, 0.3532, 0.1389) and Pd at (0.0000, 0.0000, 0.3296).

***

10.
The following is a DFT calculation (PBE) of a relaxed TlAs3H crystal.

For the excess energy over the best structure of this formula in the dataset, the calculation gives 0.0 meV/atom. The value obtained for the density of states at the Fermi level is 0.698 states/eV/atom. The value obtained for the volume is 18.44 Å³ per atom. The value obtained for the final energy is -3.33 eV/atom.

The structure belongs to space group Pm-3m (No. 221); the cell edges are 4.517, 4.517 and 4.517 Å and the angles 90.00°, 90.00° and 90.00°. The inequivalent atoms are Tl at (0.000, 0.000, 0.000), As at (0.000, 0.500, 0.500) and H at (0.500, 0.500, 0.500).

***

11.
The following is a DFT calculation (PBE) of a relaxed HoSbPt4 crystal.

As for the uncorrected formation energy: -392 kJ/mol of formula units. The value obtained for the density of states at the Fermi level is 0.251 states/eV/atom. The value obtained for the volume is 18.72 Å³ per atom. The value obtained for the final energy is -6.15 eV/atom.

The structure belongs to space group F-43m (No. 216); the cell edges are 7.659, 7.659 and 7.659 Å and the angles 90.00°, 90.00° and 90.00°. The inequivalent atoms are Ho at (0.000, 0.000, 0.000), Sb at (0.250, 0.250, 0.750) and Pt at (0.125, 0.125, 0.375).